w:
The following is a DFT calculation (PBE) of PmNd4Cd2 after structural relaxation.

Structure (POSCAR):
```
PmNd4Cd2
1.0
2.781 -4.814 0.000
2.781 4.814 0.000
0.000 0.000 16.566
Pm Nd Cd
2 8 4
Cartesian
2.781 4.808 12.425
2.781 -4.808 4.142
0.000 0.000 0.000
0.000 0.000 8.283
2.781 1.609 2.340
2.781 1.609 5.943
2.781 1.598 12.425
2.781 -1.598 4.142
2.781 -1.609 10.623
2.781 -1.609 14.226
2.781 1.603 9.248
2.781 1.603 15.601
2.781 -1.603 0.965
2.781 -1.603 7.318
```

Results
Density of states at the Fermi level ... 1.041 states/eV per atom
Space-group type ... Cmcm, No. 63

x:
The following is a DFT calculation (PBE) of PmNd4Cd2 after structural relaxation.

Structure (POSCAR):
```
PmNd4Cd2
1.0
6.502 0.000 0.000
1.201 8.345 0.000
2.710 -0.373 8.083
Pm Nd Cd
2 8 4
Cartesian
0.000 0.000 0.000
4.029 7.129 1.651
1.666 2.226 2.145
2.915 2.266 5.686
5.116 4.353 7.820
5.109 6.767 5.099
5.988 0.837 7.112
4.994 1.167 3.033
8.370 5.624 6.431
7.211 5.731 2.641
3.862 4.359 3.234
6.311 3.434 4.934
5.422 3.485 0.605
7.573 -0.199 4.390
```

Results
Density of states at the Fermi level ... 1.157 states/eV per atom
Space-group type ... P1, No. 1

The winner here is w, beating the second structure by 1.6 kJ/mol of atoms.

w:
The following is a DFT calculation (PBE) of Pm4NdCd after structural relaxation.

Structure (POSCAR):
```
Pm4NdCd
1.0
5.348 0.000 0.000
0.000 5.348 0.000
0.000 0.000 7.745
Pm Nd Cd
4 1 1
Cartesian
0.000 2.674 0.000
0.000 2.674 3.671
2.674 0.000 0.000
2.674 0.000 3.671
0.000 0.000 5.703
2.674 2.674 1.835
```

Results
Density of states at the Fermi level ... 1.748 states/eV per atom
Space-group type ... P4mm, No. 99

x:
The following is a DFT calculation (PBE) of Pm4NdCd after structural relaxation.

Structure (POSCAR):
```
Pm4NdCd
1.0
3.676 0.000 0.000
0.000 3.676 0.000
0.000 0.000 14.418
Pm Nd Cd
4 1 1
Cartesian
0.000 0.000 2.084
0.000 0.000 12.333
1.838 1.838 4.624
1.838 1.838 9.793
0.000 0.000 7.209
1.838 1.838 0.000
```

Results
Density of states at the Fermi level ... 1.271 states/eV per atom
Space-group type ... P4/mmm, No. 123

The winner here is x, beating the second structure by 46.9 kJ/mol of atoms.

w:
The following is a DFT calculation (PBE) of Pm4Nd3Cd after structural relaxation.

Structure (POSCAR):
```
Pm4Nd3Cd
1.0
4.194 0.000 0.000
0.000 4.194 0.000
0.000 0.000 14.945
Pm Nd Cd
4 3 1
Cartesian
0.000 0.000 1.693
0.000 0.000 5.591
0.000 0.000 9.354
0.000 0.000 13.252
2.097 2.097 3.770
2.097 2.097 7.473
2.097 2.097 11.175
2.097 2.097 0.000
```

Results
Density of states at the Fermi level ... 1.621 states/eV per atom
Space-group type ... P4/mmm, No. 123

x:
The following is a DFT calculation (PBE) of Pm4Nd3Cd after structural relaxation.

Structure (POSCAR):
```
Pm4Nd3Cd
1.0
11.551 0.000 0.000
0.000 7.201 0.000
0.000 0.000 6.323
Pm Nd Cd
8 6 2
Cartesian
0.000 0.807 0.000
0.000 6.243 3.396
2.720 6.258 1.170
3.056 0.943 4.331
5.776 0.958 0.235
5.776 6.394 3.161
8.495 0.943 4.331
8.831 6.258 1.170
0.000 2.692 3.431
2.713 2.736 1.194
3.062 4.465 4.355
5.776 4.509 0.270
8.489 4.465 4.355
8.838 2.736 1.194
0.000 4.481 0.101
5.776 2.720 3.263
```

Results
Density of states at the Fermi level ... 1.111 states/eV per atom
Space-group type ... Pmn2_1, No. 31

The winner here is x, beating the second structure by 6.0 kJ/mol of atoms.

w:
The following is a DFT calculation (PBE) of PmNdCd4 after structural relaxation.

Structure (POSCAR):
```
PmNdCd4
1.0
0.000 4.238 4.238
4.238 0.000 4.238
4.238 4.238 0.000
Pm Nd Cd
1 1 4
Cartesian
0.000 0.000 0.000
2.119 2.119 2.119
5.298 3.179 3.179
3.179 5.298 3.179
3.179 3.179 5.298
5.298 5.298 5.298
```

Results
Density of states at the Fermi level ... 0.551 states/eV per atom
Space-group type ... F-43m, No. 216

x:
The following is a DFT calculation (PBE) of PmNdCd4 after structural relaxation.

Structure (POSCAR):
```
PmNdCd4
1.0
-2.547 3.435 4.399
2.547 -3.435 4.399
2.547 3.435 -4.399
Pm Nd Cd
1 1 4
Cartesian
0.000 0.000 0.000
0.000 3.435 0.000
2.547 1.711 -1.468
2.547 1.711 1.468
0.000 1.725 2.932
0.000 1.725 5.867
```

Results
Density of states at the Fermi level ... 0.568 states/eV per atom
Space-group type ... Immm, No. 71

The winner here is x, beating the second structure by 4.4 kJ/mol of atoms.

w:
The following is a DFT calculation (PBE) of PmNd6Cd after structural relaxation.

Structure (POSCAR):
```
PmNd6Cd
1.0
4.807 2.775 3.383
-4.807 2.775 3.383
0.000 -5.551 3.383
Pm Nd Cd
1 6 1
Cartesian
0.000 0.000 0.000
-2.397 0.201 2.896
1.025 -2.176 2.896
-1.372 -1.976 7.254
1.372 1.976 2.896
-1.025 2.176 7.254
2.397 -0.201 7.254
0.000 0.000 5.075
```

Results
Density of states at the Fermi level ... 1.362 states/eV per atom
Space-group type ... R-3, No. 148

x:
The following is a DFT calculation (PBE) of PmNd6Cd after structural relaxation.

Structure (POSCAR):
```
PmNd6Cd
1.0
5.060 0.000 0.000
0.000 5.060 0.000
0.000 0.000 10.320
Pm Nd Cd
1 6 1
Cartesian
0.000 0.000 0.000
0.000 2.530 2.649
0.000 2.530 7.671
2.530 0.000 2.649
2.530 0.000 7.671
2.530 2.530 0.000
2.530 2.530 5.160
0.000 0.000 5.160
```

Results
Density of states at the Fermi level ... 1.189 states/eV per atom
Space-group type ... P4/mmm, No. 123

The winner here is x, beating the second structure by 6.5 kJ/mol of atoms.

w:
The following is a DFT calculation (PBE) of PmNd8Cd2 after structural relaxation.

Structure (POSCAR):
```
PmNd8Cd2
1.0
8.551 -2.721 0.000
8.551 2.721 0.000
-3.529 0.000 7.784
Pm Nd Cd
1 8 2
Cartesian
0.000 0.000 0.000
0.099 0.000 3.645
-0.161 0.000 7.444
3.186 0.000 6.167
6.722 0.000 2.040
6.850 0.000 5.744
10.386 0.000 1.617
13.733 0.000 0.340
13.473 0.000 4.139
3.457 0.000 2.872
10.115 0.000 4.912
```

Results
Density of states at the Fermi level ... 1.390 states/eV per atom
Space-group type ... C2/m, No. 12

x:
The following is a DFT calculation (PBE) of PmNd8Cd2 after structural relaxation.

Structure (POSCAR):
```
PmNd8Cd2
1.0
5.869 -5.866 0.000
5.869 5.866 0.000
-1.010 0.000 5.695
Pm Nd Cd
1 8 2
Cartesian
0.000 0.000 0.000
4.096 2.984 1.448
3.047 0.000 0.669
6.633 2.984 4.247
4.182 0.000 4.022
6.548 0.000 1.673
4.096 -2.984 1.448
7.682 0.000 5.025
6.633 -2.984 4.247
0.982 0.000 3.047
9.747 0.000 2.648
```

Results
Density of states at the Fermi level ... 1.672 states/eV per atom
Space-group type ... C2/m, No. 12

The winner here is w, beating the second structure by 31.1 kJ/mol of atoms.